Here is Er3UTl3S8 after structural relaxation from Alexandria via LeMat-Bulk. Energies are from PBE.

Cell: 7.9654 7.9643 8.8739 Å, 116.67 90.00 120.00°
Each line ends with the local moment (μB).
Atoms (fractional coordinates):
S: 0.7709 0.0366 0.3075  -0.03
S: 0.7709 0.5417 0.3075  -0.03
S: 0.7315 0.4630 0.6944  0.00
S: 0.2657 0.0366 0.3075  -0.03
S: 0.2291 0.4583 0.6925  -0.03
S: 0.7343 0.9634 0.6925  -0.03
S: 0.2291 0.9634 0.6925  -0.03
S: 0.2685 0.5370 0.3056  0.00
Er: 0.5000 0.0000 0.5000  0.02
Er: 0.0000 0.5000 0.5000  0.02
Er: 0.5000 0.5000 0.5000  0.02
Tl: 0.0000 0.5000 0.0000  0.00
Tl: 0.0000 0.0000 0.0000  0.00
Tl: 0.5000 0.5000 0.0000  0.00
U: 0.0000 0.0000 0.5000  1.96

Calculated values
Formation energy from raw total energies, eV/atom: -1.4644
Total magnetic moment, μB/f.u.: 2.0
Total DFT energy (no corrections), eV for the cell shown: -87.1